! CrGaAsO6 PBE+U optimized geometry; values from VASP
! SG: No. 102
! Raw total energy (eV per atom): -6.465
&SYSTEM
  ibrav = 0, nat = 18, ntyp = 4
/
ATOMIC_SPECIES
O 16.00 O.upf
Cr 52.00 Cr.upf
Ga 69.72 Ga.upf
As 74.92 As.upf
CELL_PARAMETERS angstrom
4.491 0.000 0.000
0.000 4.491 0.000
0.000 0.000 8.859
ATOMIC_POSITIONS crystal
O 0.295 0.295 0.336
O 0.806 0.194 0.492
Cr 0.000 0.000 0.999
O 0.795 0.205 0.836
O 0.312 0.312 0.672
O 0.688 0.688 0.672
O 0.812 0.188 0.172
O 0.194 0.806 0.492
Ga 0.000 0.000 0.668
O 0.306 0.306 0.992
O 0.205 0.795 0.836
O 0.705 0.705 0.336
As 0.000 0.000 0.333
As 0.500 0.500 0.833
Cr 0.500 0.500 0.499
O 0.188 0.812 0.172
O 0.694 0.694 0.992
Ga 0.500 0.500 0.168